[1]
Here is Ti4Al3H2 after structural relaxation from Alexandria via LeMat-Bulk. Energies are from GGA-PBE.

Lattice parameters (Å, degrees): 3.665 5.049 6.909 96.18 90.00 111.28
Atoms (fractional coordinates):
1 Al 0.578 0.157 0.726
2 Al 0.422 0.843 0.274
3 Al 0.000 0.000 0.000
4 Ti 0.290 0.580 0.867
5 Ti 0.135 0.270 0.414
6 Ti 0.710 0.420 0.133
7 Ti 0.865 0.730 0.586
8 H 0.700 0.399 0.404
9 H 0.300 0.601 0.596

Crystal system ... monoclinic
Total energy ... -53.080 eV for the cell shown



[2]
Here is MnCuSiRh after structural relaxation from Alexandria via LeMat-Bulk. Energies are from GGA-PBE.

Lattice parameters (Å, degrees): 4.143 4.143 4.143 60.00 60.00 60.00
Atoms (fractional coordinates):
1 Si 0.000 0.000 0.000
2 Rh 0.250 0.250 0.250
3 Cu 0.500 0.500 0.500
4 Mn 0.750 0.750 0.750

Raw formation energy ... -296.6 meV/atom
Crystal system ... cubic



[3]
Here is CaCd12Hg16 after structural relaxation from Alexandria via LeMat-Bulk. Energies are from GGA-PBE.

Lattice parameters (Å, degrees): 9.892 9.892 10.629 115.70 115.70 102.72
Atoms (fractional coordinates):
1 Hg 0.711 0.024 0.426
2 Hg 0.007 0.423 0.688
3 Hg 0.357 0.357 0.301
4 Hg 0.420 0.687 0.019
5 Hg 0.288 0.288 0.708
6 Hg 0.629 0.985 0.001
7 Hg 0.565 0.277 0.556
8 Hg 0.687 0.420 0.019
9 Hg 0.977 0.977 0.692
10 Hg 0.423 0.007 0.688
11 Hg 0.277 0.565 0.556
12 Hg 0.337 0.729 0.317
13 Hg 0.985 0.629 0.001
14 Hg 0.729 0.337 0.317
15 Hg 0.024 0.711 0.426
16 Hg 0.994 0.994 0.028
17 Cd 0.991 0.200 0.367
18 Cd 0.822 0.822 0.208
19 Cd 0.354 0.995 0.165
20 Cd 0.179 0.375 0.975
21 Cd 0.629 0.823 0.667
22 Cd 0.601 0.601 0.814
23 Cd 0.375 0.179 0.975
24 Cd 0.206 0.789 0.788
25 Cd 0.789 0.206 0.788
26 Cd 0.995 0.354 0.165
27 Cd 0.200 0.991 0.367
28 Cd 0.823 0.629 0.667
29 Ca 0.623 0.623 0.308

Crystal system ... monoclinic
Total energy ... -18.527 eV for the cell shown